# 1
Here is crystalline GdTmAs at its relaxed geometry from OQMD via LeMat-Bulk. Energies are from GGA-PBE.

Summary:
- symmetry = No. 216
- crystal system = cubic

POSCAR file:
```
GdTmAs
1.0
1.015 -4.625 -0.793
2.184 -2.595 3.398
-2.424 -3.424 2.335
Gd Tm As
1 1 1
Direct
0.250 0.250 0.250 Gd
0.750 0.750 0.750 Tm
0.000 0.000 0.000 As
```

---

# 2
Here is crystalline GdTm2As3 at its relaxed geometry from OQMD via LeMat-Bulk. Energies are from GGA-PBE.

Summary:
- symmetry = No. 164
- crystal system = trigonal

POSCAR file:
```
GdTm2As3
1.0
-1.043 3.934 -0.429
-2.602 -2.628 1.753
3.983 2.033 8.959
As Gd Tm
3 1 2
Direct
0.000 0.000 0.000 As
0.333 0.667 0.328 As
0.667 0.333 0.672 As
0.000 0.000 0.500 Gd
0.333 0.667 0.836 Tm
0.667 0.333 0.164 Tm
```

---

# 3
Here is crystalline Gd2TmAs3 at its relaxed geometry from OQMD via LeMat-Bulk. Energies are from GGA-PBE.

Summary:
- symmetry = No. 164
- crystal system = trigonal

POSCAR file:
```
Gd2TmAs3
1.0
4.124 0.000 0.000
-2.062 3.572 0.000
0.000 0.000 10.094
Gd As Tm
2 3 1
Direct
0.667 0.333 0.169 Gd
0.333 0.667 0.831 Gd
0.667 0.333 0.661 As
0.333 0.667 0.339 As
0.000 0.000 0.000 As
0.000 0.000 0.500 Tm
```

---

# 4
Here is crystalline GdYZr2As2 at its relaxed geometry from OQMD via LeMat-Bulk. Energies are from GGA-PBE.

Summary:
- symmetry = No. 107
- crystal system = tetragonal

POSCAR file:
```
GdYZr2As2
1.0
-2.051 2.051 7.990
2.051 -2.051 7.990
2.051 2.051 -7.990
Gd Y As Zr
1 1 2 2
Direct
0.678 0.678 0.000 Gd
0.322 0.322 0.000 Y
0.868 0.868 0.000 As
0.132 0.132 0.000 As
0.000 0.500 0.500 Zr
0.500 0.000 0.500 Zr
```

---

# 5
Here is crystalline HfGe2As at its relaxed geometry from OQMD via LeMat-Bulk. Energies are from GGA-PBE.

Summary:
- symmetry = No. 216
- crystal system = cubic

POSCAR file:
```
HfGe2As
1.0
-1.052 -3.983 -2.412
-2.538 -3.459 2.094
-4.492 -0.837 -1.384
Hf Ge As
1 2 1
Direct
0.500 0.500 0.500 Hf
0.000 0.000 0.000 Ge
0.250 0.250 0.250 Ge
0.750 0.750 0.750 As
```

---

# 6
Here is crystalline Hf2GeAs2 at its relaxed geometry from OQMD via LeMat-Bulk. Energies are from GGA-PBE.

Summary:
- symmetry = No. 139
- crystal system = tetragonal

POSCAR file:
```
Hf2GeAs2
1.0
-2.216 4.178 2.837
-5.179 -0.002 -1.895
2.772 -4.299 2.062
As Hf Ge
2 2 1
Direct
0.360 0.360 0.000 As
0.640 0.640 0.000 As
0.250 0.750 0.500 Hf
0.750 0.250 0.500 Hf
0.000 0.000 0.000 Ge
```

---

no.,final energy (eV/f.u.),total magnetization (μB per formula unit)
1,-16.0,0.03
2,-36.6,0.02
3,-36.9,0.02
4,-43.6,0.02
5,-23.5,0.00
6,-35.9,0.00